Crystalline Tb6Tl6Pb at its relaxed geometry, computed with PBE.

Calculated values
Spin magnetization: 0.0 Bohr magnetons per cell
DFT formation energy: -211 meV per atom
Total energy: -48.43 eV/cell
Fermi-level density of states: 12.17 states/eV per cell

Cell: 6.5450 6.5450 10.3703 Å, 90.00 90.00 120.00°
Positions (direct):
1 Tb 0.6666 0.3334 0.0000
2 Tb 0.3333 0.6667 0.5000
3 Tl 0.5000 0.5000 0.7492
4 Tl 0.0000 0.5000 0.2508
5 Tb 0.6667 0.3333 0.5000
6 Tl 0.0000 0.5000 0.7492
7 Tl 0.5000 0.0000 0.7492
8 Tb 0.0000 0.0000 0.6888
9 Tb 0.3334 0.6666 0.0000
10 Tb 0.0000 0.0000 0.3112
11 Tl 0.5000 0.0000 0.2508
12 Pb 0.0000 0.0000 0.0000
13 Tl 0.5000 0.5000 0.2508


Crystalline Tb2TlPb at its relaxed geometry, computed with PBE.

Calculated values
Spin magnetization: 0.0 Bohr magnetons per cell
DFT formation energy: -306 meV per atom
Total energy: -16.56 eV/cell
Fermi-level density of states: 2.41 states/eV per cell

Cell: 3.8329 3.8329 9.7197 Å, 78.63 78.63 60.00°
Positions (direct):
1 Tl 0.0000 0.0000 0.0000
2 Tb 0.2503 0.2503 0.2492
3 Pb 0.5000 0.5000 0.5000
4 Tb 0.7497 0.7497 0.7508


Crystalline TbTl2Pb at its relaxed geometry, computed with PBE.

Calculated values
Spin magnetization: 0.0 Bohr magnetons per cell
DFT formation energy: -18 meV per atom
Total energy: -13.14 eV/cell
Fermi-level density of states: 3.18 states/eV per cell

Cell: 5.0239 5.0239 6.5315 Å, 67.38 67.38 60.00°
Positions (direct):
1 Tb 0.6786 0.6786 0.9641
2 Tl 0.2620 0.2620 0.2140
3 Tl 0.0699 0.0699 0.7902
4 Pb 0.4894 0.4894 0.5317


Crystalline Tb2Tl2Pb at its relaxed geometry, computed with PBE.

Calculated values
Spin magnetization: 0.0 Bohr magnetons per cell
DFT formation energy: -152 meV per atom
Total energy: -36.92 eV/cell
Fermi-level density of states: 6.84 states/eV per cell

Cell: 5.2558 5.2559 12.4636 Å, 90.00 90.00 120.00°
Positions (direct):
1 Pb 0.0000 0.0000 0.2500
2 Tb 0.3333 0.6667 0.5986
3 Tb 0.3333 0.6667 0.9014
4 Tb 0.6667 0.3333 0.4014
5 Tl 0.0000 0.0000 0.0000
6 Pb 0.0000 0.0000 0.7500
7 Tl 0.3333 0.6667 0.2500
8 Tb 0.6667 0.3333 0.0986
9 Tl 0.0000 0.0000 0.5000
10 Tl 0.6667 0.3333 0.7500